Material: Li2NiP2O7
Method: DFT, GGA+U
State: relaxed

The space group is P-1 (No. 2) and the conventional cell measures 4.186, 7.135 and 9.642 Å, with angles of 75.76, 88.14 and 83.16 degrees. The inequivalent atoms are Li at (0.197, 0.381, 0.372), Li at (0.290, 0.413, 0.939), Ni at (0.179, 0.926, 0.375), P at (0.006, 0.991, 0.121), P at (0.410, 0.269, 0.687), O at (0.052, 0.776, 0.893), O at (0.111, 0.297, 0.589), O at (0.211, 0.651, 0.027), O at (0.225, 0.885, 0.586), O at (0.312, 0.126, 0.848), O at (0.464, 0.458, 0.725) and O at (0.475, 0.138, 0.347).

The crystal system is triclinic. The magnetic moment comes out at 0.083 μB per atom. The total energy is -65.84 eV/f.u. The calculation puts the energy above the most stable polymorph in this dataset at 975 meV/atom.